#1
Computed, not measured: crystalline ZnAs2Cl at its relaxed geometry at the PBE level of DFT.

Summary:
Magnetic moment, μB per cell: 0.000
Theoretical density, Mg/m³: 4.6

Lattice parameters (Å, degrees): 3.5214 5.7122 9.0551 90.00 90.00 90.00
Space group Cmm2 (No. 35)
Asymmetric unit:
Zn  0.0000  0.0000  0.0000 (multiplicity 2)
As  0.0000  0.0000  0.5728 (multiplicity 2)
As  0.0000  0.5000  0.7745 (multiplicity 2)
Cl  0.0000  0.5000  0.1733 (multiplicity 2)



#2
Computed, not measured: crystalline ZnAs2Cl at its relaxed geometry at the PBE level of DFT.

Summary:
Magnetic moment, μB per cell: 0.000
Theoretical density, Mg/m³: 4.2

Lattice parameters (Å, degrees): 3.5053 3.5109 16.2445 90.00 90.00 90.00
Space group Imm2 (No. 44)
Asymmetric unit:
Zn  0.0000  0.0000  0.0000 (multiplicity 2)
As  0.0000  0.0000  0.5851 (multiplicity 2)
As  0.0000  0.5000  0.6900 (multiplicity 2)
Cl  0.0000  0.5000  0.4018 (multiplicity 2)



The structure shown above that is least stable: #1.